# 1
{"formula": "Nd4Y19Tm6", "functional": "PBE-GGA", "state": "relaxed", "e_form_kj_per_mol_fu": 1090, "total_energy_ev_per_cell": -157.42, "dos_at_fermi_per_ev_atom": 1.499, "lattice": [[10.222, 0.000, -3.614], [-5.111, 8.853, -3.614], [0.000, 0.000, 10.842]], "species": ["Nd", "Nd", "Nd", "Nd", "Y", "Y", "Y", "Y", "Y", "Y", "Y", "Y", "Y", "Y", "Y", "Y", "Y", "Y", "Y", "Y", "Y", "Y", "Y", "Tm", "Tm", "Tm", "Tm", "Tm", "Tm"], "fractional_positions": [[0.000, 0.000, 0.641], [0.000, 0.641, 0.000], [0.359, 0.359, 0.359], [0.641, 0.000, 0.000], [0.736, 0.000, 0.736], [0.264, 0.000, 0.264], [0.264, 0.264, 0.000], [0.736, 0.736, 0.000], [0.000, 0.736, 0.736], [0.000, 0.264, 0.264], [0.000, 0.000, 0.000], [0.207, 0.217, 0.547], [0.793, 0.339, 0.009], [0.670, 0.661, 0.453], [0.009, 0.793, 0.339], [0.330, 0.783, 0.991], [0.547, 0.207, 0.217], [0.991, 0.330, 0.783], [0.453, 0.670, 0.661], [0.783, 0.991, 0.330], [0.339, 0.009, 0.793], [0.217, 0.547, 0.207], [0.661, 0.453, 0.670], [0.376, 0.500, 0.876], [0.624, 0.500, 0.124], [0.124, 0.624, 0.500], [0.876, 0.376, 0.500], [0.500, 0.876, 0.376], [0.500, 0.124, 0.624]]}

=====

# 2
{"formula": "NdY7Tm3", "functional": "PBE-GGA", "state": "relaxed", "polymorph_energy_ev_per_fu": 0.00, "e_form_kj_per_mol_fu": 153, "total_energy_ev_per_cell": -61.84, "dos_at_fermi_per_ev_atom": 1.709, "lattice": [[-4.595, -1.151, -2.904], [2.626, -9.572, -0.359], [0.756, 2.225, 8.549]], "species": ["Nd", "Y", "Y", "Y", "Y", "Y", "Y", "Y", "Tm", "Tm", "Tm"], "fractional_positions": [[0.500, 0.500, 0.500], [0.928, 0.832, 0.927], [0.852, 0.712, 0.352], [0.676, 0.359, 0.176], [0.324, 0.641, 0.824], [0.500, 0.000, 0.500], [0.148, 0.288, 0.648], [0.072, 0.168, 0.073], [0.275, 0.995, 0.775], [0.000, 0.500, 0.000], [0.725, 0.005, 0.225]]}

=====

# 3
{"formula": "NdYTm", "functional": "PBE-GGA", "state": "relaxed", "polymorph_energy_ev_per_fu": 0.21, "e_form_kj_per_mol_fu": 20, "total_energy_ev_per_cell": -15.50, "dos_at_fermi_per_ev_atom": 1.831, "lattice": [[3.524, 0.000, 0.000], [0.000, 5.639, 0.000], [0.000, -2.820, 4.884]], "species": ["Y", "Tm", "Nd"], "fractional_positions": [[0.667, 0.667, 0.333], [0.166, 0.333, 0.667], [0.167, 0.000, 0.000]]}

=====

# 4
{"formula": "Nd5YTm", "functional": "PBE-GGA", "state": "relaxed", "polymorph_energy_ev_per_fu": 0.00, "e_form_kj_per_mol_fu": 103, "total_energy_ev_per_cell": -67.41, "dos_at_fermi_per_ev_atom": 1.421, "lattice": [[8.537, 2.033, 1.710], [4.636, 7.451, 1.710], [6.565, 4.726, 10.677]], "species": ["Nd", "Nd", "Nd", "Nd", "Nd", "Nd", "Nd", "Nd", "Nd", "Nd", "Y", "Y", "Tm", "Tm"], "fractional_positions": [[0.745, 0.749, 0.095], [0.336, 0.330, 0.589], [0.749, 0.745, 0.595], [0.238, 0.762, 0.250], [0.670, 0.664, 0.911], [0.330, 0.336, 0.089], [0.762, 0.238, 0.750], [0.251, 0.255, 0.405], [0.664, 0.670, 0.411], [0.255, 0.251, 0.905], [0.764, 0.236, 0.250], [0.236, 0.764, 0.750], [0.000, 0.000, 0.000], [0.000, 0.000, 0.500]]}

=====

Copy entry 1 word for word.
{"formula": "Nd4Y19Tm6", "functional": "PBE-GGA", "state": "relaxed", "e_form_kj_per_mol_fu": 1090, "total_energy_ev_per_cell": -157.42, "dos_at_fermi_per_ev_atom": 1.499, "lattice": [[10.222, 0.000, -3.614], [-5.111, 8.853, -3.614], [0.000, 0.000, 10.842]], "species": ["Nd", "Nd", "Nd", "Nd", "Y", "Y", "Y", "Y", "Y", "Y", "Y", "Y", "Y", "Y", "Y", "Y", "Y", "Y", "Y", "Y", "Y", "Y", "Y", "Tm", "Tm", "Tm", "Tm", "Tm", "Tm"], "fractional_positions": [[0.000, 0.000, 0.641], [0.000, 0.641, 0.000], [0.359, 0.359, 0.359], [0.641, 0.000, 0.000], [0.736, 0.000, 0.736], [0.264, 0.000, 0.264], [0.264, 0.264, 0.000], [0.736, 0.736, 0.000], [0.000, 0.736, 0.736], [0.000, 0.264, 0.264], [0.000, 0.000, 0.000], [0.207, 0.217, 0.547], [0.793, 0.339, 0.009], [0.670, 0.661, 0.453], [0.009, 0.793, 0.339], [0.330, 0.783, 0.991], [0.547, 0.207, 0.217], [0.991, 0.330, 0.783], [0.453, 0.670, 0.661], [0.783, 0.991, 0.330], [0.339, 0.009, 0.793], [0.217, 0.547, 0.207], [0.661, 0.453, 0.670], [0.376, 0.500, 0.876], [0.624, 0.500, 0.124], [0.124, 0.624, 0.500], [0.876, 0.376, 0.500], [0.500, 0.876, 0.376], [0.500, 0.124, 0.624]]}